The following is a GGA-PBE calculation of Cs2CrTeBr6 after structural relaxation, from Alexandria via LeMat-Bulk.

```
Cs2CrTeBr6
1.0
-4.119 4.119 5.481
4.119 -4.119 5.481
4.119 4.119 -5.481
Cs Cr Te Br
2 1 1 6
direct
0.250 0.750 0.500
0.750 0.250 0.500
0.000 0.000 0.000
0.500 0.500 0.000
0.219 0.219 0.437
0.219 0.781 0.000
0.247 0.247 0.000
0.753 0.753 0.000
0.781 0.219 0.000
0.781 0.781 0.563
```

Computed properties:
- SG: No. 139
- V: 372.0 Å³/f.u.
- Energy relative to the elements, uncorrected: -947 meV per atom



The following is a GGA-PBE calculation of Cs3TlCr2Br8 after structural relaxation, from Alexandria via LeMat-Bulk.

```
Cs3TlCr2Br8
1.0
8.093 0.000 0.000
-4.046 7.008 0.000
0.000 0.000 10.409
Cs Tl Cr Br
3 1 2 8
direct
0.000 0.000 0.000
0.333 0.667 0.619
0.667 0.333 0.381
0.000 0.000 0.500
0.333 0.667 0.192
0.667 0.333 0.808
0.175 0.350 0.305
0.175 0.825 0.305
0.333 0.667 0.957
0.350 0.175 0.695
0.650 0.825 0.305
0.667 0.333 0.043
0.825 0.175 0.695
0.825 0.650 0.695
```

Computed properties:
- SG: No. 164
- V: 590.4 Å³/f.u.
- Energy relative to the elements, uncorrected: -1101 meV per atom



The following is a GGA-PBE calculation of Cs3TlCr2Br9 after structural relaxation, from Alexandria via LeMat-Bulk.

```
Cs3TlCr2Br9
1.0
7.807 0.000 0.000
-3.904 6.761 0.000
0.000 0.000 9.937
Cs Tl Cr Br
3 1 2 9
direct
0.000 0.000 0.000
0.333 0.667 0.677
0.667 0.333 0.323
0.000 0.000 0.500
0.333 0.667 0.153
0.667 0.333 0.847
0.000 0.500 0.000
0.180 0.359 0.299
0.180 0.820 0.299
0.359 0.180 0.701
0.500 0.000 0.000
0.500 0.500 0.000
0.641 0.820 0.299
0.820 0.180 0.701
0.820 0.641 0.701
```

Computed properties:
- SG: No. 164
- V: 524.6 Å³/f.u.
- Energy relative to the elements, uncorrected: -1164 meV per atom



The following is a GGA-PBE calculation of Cs4TlCr3Br12 after structural relaxation, from Alexandria via LeMat-Bulk.

```
Cs4TlCr3Br12
1.0
-5.544 5.544 5.544
5.544 -5.544 5.544
5.544 5.544 -5.544
Cs Tl Cr Br
4 1 3 12
direct
0.000 0.000 0.500
0.000 0.500 0.000
0.500 0.000 0.000
0.500 0.500 0.500
0.000 0.000 0.000
0.000 0.500 0.500
0.500 0.000 0.500
0.500 0.500 0.000
0.000 0.277 0.277
0.000 0.723 0.723
0.250 0.500 0.750
0.250 0.750 0.500
0.277 0.000 0.277
0.277 0.277 0.000
0.500 0.250 0.750
0.500 0.750 0.250
0.723 0.000 0.723
0.723 0.723 0.000
0.750 0.250 0.500
0.750 0.500 0.250
```

Computed properties:
- SG: No. 229
- V: 681.5 Å³/f.u.
- Energy relative to the elements, uncorrected: -1157 meV per atom



The following is a GGA-PBE calculation of CsTmCrBr6 after structural relaxation, from Alexandria via LeMat-Bulk.

```
CsTmCrBr6
1.0
7.092 0.000 0.000
-3.546 6.142 0.000
0.000 0.000 8.230
Cs Tm Cr Br
1 1 1 6
direct
0.000 0.000 0.000
0.667 0.333 0.500
0.333 0.667 0.500
0.010 0.379 0.691
0.010 0.631 0.309
0.369 0.379 0.309
0.369 0.990 0.691
0.621 0.631 0.691
0.621 0.990 0.309
```

Computed properties:
- SG: No. 149
- V: 358.5 Å³/f.u.
- Energy relative to the elements, uncorrected: -1441 meV per atom



The following is a GGA-PBE calculation of CsVCr2Br8 after structural relaxation, from Alexandria via LeMat-Bulk.

```
CsVCr2Br8
1.0
3.408 1.968 9.949
-3.408 1.968 9.949
0.000 -3.936 9.949
Cs V Cr Br
1 1 2 8
direct
0.000 0.000 0.000
0.500 0.500 0.500
0.231 0.231 0.231
0.769 0.769 0.769
0.153 0.428 0.768
0.232 0.847 0.572
0.312 0.312 0.312
0.428 0.768 0.153
0.572 0.232 0.847
0.688 0.688 0.688
0.768 0.153 0.428
0.847 0.572 0.232
```

Computed properties:
- SG: No. 148
- V: 400.4 Å³/f.u.
- Energy relative to the elements, uncorrected: -821 meV per atom



The following is a GGA-PBE calculation of CsYCrBr6 after structural relaxation, from Alexandria via LeMat-Bulk.

```
CsYCrBr6
1.0
7.148 0.000 0.000
-3.574 6.190 0.000
0.000 0.000 8.199
Cs Y Cr Br
1 1 1 6
direct
0.000 0.000 0.000
0.667 0.333 0.500
0.333 0.667 0.500
0.014 0.382 0.693
0.014 0.632 0.307
0.368 0.382 0.307
0.368 0.986 0.693
0.618 0.632 0.693
0.618 0.986 0.307
```

Computed properties:
- SG: No. 149
- V: 362.8 Å³/f.u.
- Energy relative to the elements, uncorrected: -1445 meV per atom



The following is a GGA-PBE calculation of CsYCr2Br8 after structural relaxation, from Alexandria via LeMat-Bulk.

```
CsYCr2Br8
1.0
7.191 0.000 0.000
-2.726 6.779 0.000
-0.743 -3.742 8.875
Cs Y Cr Br
1 1 2 8
direct
0.000 0.000 0.000
0.000 0.500 0.500
0.429 0.319 0.794
0.571 0.681 0.206
0.169 0.551 0.256
0.259 0.305 0.549
0.311 0.912 0.690
0.443 0.679 0.952
0.557 0.321 0.048
0.689 0.088 0.310
0.741 0.695 0.451
0.831 0.449 0.744
```

Computed properties:
- SG: No. 2
- V: 432.6 Å³/f.u.
- Energy relative to the elements, uncorrected: -1194 meV per atom



The following is a GGA-PBE calculation of CsZn2CrBr8 after structural relaxation, from Alexandria via LeMat-Bulk.

```
CsZn2CrBr8
1.0
3.304 1.908 10.936
-3.304 1.908 10.936
0.000 -3.815 10.936
Cs Zn Cr Br
1 2 1 8
direct
0.000 0.000 0.000
0.233 0.233 0.233
0.767 0.767 0.767
0.500 0.500 0.500
0.154 0.436 0.774
0.226 0.846 0.564
0.306 0.306 0.306
0.436 0.774 0.154
0.564 0.226 0.846
0.694 0.694 0.694
0.774 0.154 0.436
0.846 0.564 0.226
```

Computed properties:
- SG: No. 148
- V: 413.6 Å³/f.u.
- Energy relative to the elements, uncorrected: -965 meV per atom



The following is a GGA-PBE calculation of Cs2ZnCrBr6 after structural relaxation, from Alexandria via LeMat-Bulk.

```
Cs2ZnCrBr6
1.0
-3.926 3.926 5.473
3.926 -3.926 5.473
3.926 3.926 -5.473
Cs Zn Cr Br
2 1 1 6
direct
0.250 0.750 0.500
0.750 0.250 0.500
0.000 0.000 0.000
0.500 0.500 0.000
0.215 0.215 0.000
0.272 0.272 0.543
0.272 0.728 0.000
0.728 0.272 0.000
0.728 0.728 0.457
0.785 0.785 0.000
```

Computed properties:
- SG: No. 139
- V: 337.4 Å³/f.u.
- Energy relative to the elements, uncorrected: -1151 meV per atom



The following is a GGA-PBE calculation of CrCuBr2 after structural relaxation, from Alexandria via LeMat-Bulk.

```
CrCuBr2
1.0
3.736 -3.723 0.000
3.736 3.723 0.000
-2.289 0.000 3.581
Cr Cu Br
1 1 2
direct
0.000 0.000 0.000
0.500 0.500 0.000
0.000 0.500 0.000
0.500 0.000 0.000
```

Computed properties:
- SG: No. 12
- Relative energy among the computed polymorphs: 0.164 eV/atom
- V: 99.6 Å³/f.u.
- Energy relative to the elements, uncorrected: 96 meV per atom



The following is a GGA-PBE calculation of CrCuBr2 after structural relaxation, from Alexandria via LeMat-Bulk.

```
CrCuBr2
1.0
0.000 3.448 3.448
3.448 0.000 3.448
3.448 3.448 0.000
Cr Cu Br
1 1 2
direct
0.000 0.000 0.000
0.500 0.500 0.500
0.250 0.250 0.250
0.750 0.750 0.750
```

Computed properties:
- SG: No. 225
- Relative energy among the computed polymorphs: 0.334 eV/atom
- V: 82.0 Å³/f.u.
- Energy relative to the elements, uncorrected: 265 meV per atom



no.,density (g cm⁻³)
1,4.129
2,3.787
3,4.515
4,4.510
5,3.859
6,3.845
7,3.448
8,3.704
9,3.834
10,4.245
11,4.589
12,5.579